[1]
An optimized crystal structure of CsDyTeSe, computed with GGA-PBE. Values from VASP.

Summary:
* energy relative to the elements, uncorrected: -1528 meV/atom
* space group: R3m
* N(E_F): 0.00 states/eV/atom
* mass density: 5.7 g/cm³

Structure (Quantum ESPRESSO input):
```
&SYSTEM
  ibrav = 0, nat = 4, ntyp = 4
/
ATOMIC_SPECIES
Cs 132.91 Cs.upf
Dy 162.50 Dy.upf
Te 127.60 Te.upf
Se 78.96 Se.upf
ATOMIC_POSITIONS angstrom
Cs 0.0000 0.0000 0.0000
Dy 0.0000 0.0000 22.0977
Te 0.0000 0.0000 11.5335
Se 0.0000 0.0000 6.0394
CELL_PARAMETERS angstrom
2.1919 1.2655 8.7709
-2.1919 1.2655 8.7709
0.0000 -2.5310 8.7709
```

[2]
An optimized crystal structure of ThGa5Cu2Pd, computed with GGA-PBE. Values from VASP.

Summary:
* space group: P4/mmm
* energy of formation from the pure elements: -146 meV per atom
* N(E_F): 0.53 states/eV/atom
* mass density: 8.3 g/cm³

Structure (Quantum ESPRESSO input):
```
&SYSTEM
  ibrav = 0, nat = 9, ntyp = 4
/
ATOMIC_SPECIES
Th 232.04 Th.upf
Ga 69.72 Ga.upf
Cu 63.55 Cu.upf
Pd 106.42 Pd.upf
ATOMIC_POSITIONS angstrom
Th 0.0000 0.0000 0.0000
Ga 0.0000 2.3796 2.1788
Ga 0.0000 2.3796 5.0254
Ga 2.3796 0.0000 2.1788
Ga 2.3796 0.0000 5.0254
Ga 2.3796 2.3796 0.0000
Cu 2.3796 2.3796 2.4114
Cu 2.3796 2.3796 4.7929
Pd 0.0000 0.0000 3.6021
CELL_PARAMETERS angstrom
4.7591 0.0000 0.0000
0.0000 4.7591 0.0000
0.0000 0.0000 7.2043
```

[3]
An optimized crystal structure of ZrTaFe2, computed with GGA-PBE. Values from VASP.

Summary:
* space group: I-42d
* energy of formation from the pure elements: 434 meV per atom
* N(E_F): 0.98 states/eV/atom
* mass density: 9.9 g/cm³

Structure (Quantum ESPRESSO input):
```
&SYSTEM
  ibrav = 0, nat = 8, ntyp = 3
/
ATOMIC_SPECIES
Zr 91.22 Zr.upf
Ta 180.95 Ta.upf
Fe 55.84 Fe.upf
ATOMIC_POSITIONS angstrom
Zr 0.0000 0.0000 0.0000
Zr 0.0000 3.3621 1.4173
Ta 3.3621 0.0000 1.4173
Ta 0.0000 0.0000 2.8346
Fe 1.6810 1.7894 -0.7086
Fe 4.9348 1.6810 0.7086
Fe 1.6810 1.5727 2.1259
Fe -1.5727 1.6810 3.5432
CELL_PARAMETERS angstrom
-3.3621 3.3621 2.8346
3.3621 -3.3621 2.8346
3.3621 3.3621 -2.8346
```

[4]
An optimized crystal structure of U4Se, computed with GGA-PBE. Values from VASP.

Summary:
* energy relative to the elements, uncorrected: 831 meV/atom
* space group: Pm-3m
* N(E_F): 5.73 states/eV/atom
* mass density: 11.8 g/cm³

Structure (Quantum ESPRESSO input):
```
&SYSTEM
  ibrav = 0, nat = 5, ntyp = 2
/
ATOMIC_SPECIES
U 238.03 U.upf
Se 78.96 Se.upf
ATOMIC_POSITIONS angstrom
U 0.0000 0.0000 0.0000
U 0.0000 2.6291 2.6291
U 2.6291 0.0000 2.6291
U 2.6291 2.6291 0.0000
Se 2.6291 2.6291 2.6291
CELL_PARAMETERS angstrom
5.2581 0.0000 0.0000
0.0000 5.2581 0.0000
0.0000 0.0000 5.2581
```

[5]
An optimized crystal structure of Mn2CuP, computed with GGA-PBE. Values from VASP.

Summary:
* space group: Cm
* energy of formation from the pure elements: 9 meV per atom
* N(E_F): 0.56 states/eV/atom
* mass density: 6.8 g/cm³

Structure (Quantum ESPRESSO input):
```
&SYSTEM
  ibrav = 0, nat = 4, ntyp = 3
/
ATOMIC_SPECIES
Mn 54.94 Mn.upf
Cu 63.55 Cu.upf
P 30.97 P.upf
ATOMIC_POSITIONS angstrom
Mn 0.0000 0.0000 0.0000
Mn 0.7956 0.0000 2.6396
Cu 6.2043 0.0000 0.8390
P 3.3318 0.0000 2.1763
CELL_PARAMETERS angstrom
4.2606 -1.4648 0.0000
4.2606 1.4648 0.0000
-1.5595 0.0000 3.9751
```

[6]
An optimized crystal structure of CaMgBiH2, computed with GGA-PBE. Values from VASP.

Summary:
* space group: Cmcm
* N(E_F): 0.16 states/eV/atom
* mass density: 5.1 g/cm³
* energy: -3.182 eV/atom

Structure (Quantum ESPRESSO input):
```
&SYSTEM
  ibrav = 0, nat = 10, ntyp = 4
/
ATOMIC_SPECIES
Ca 40.08 Ca.upf
Mg 24.30 Mg.upf
Bi 208.98 Bi.upf
H 1.01 H.upf
ATOMIC_POSITIONS angstrom
Ca 2.3458 3.1220 5.0191
Ca 2.3458 -3.1220 1.6730
Mg 2.3458 0.0000 0.0000
Mg 2.3458 0.0000 3.3461
Bi 2.3458 5.0298 1.6730
Bi 2.3458 -5.0298 5.0191
H 2.3458 1.9591 0.3402
H 2.3458 1.9591 3.0059
H 2.3458 -1.9591 3.6863
H 2.3458 -1.9591 6.3520
CELL_PARAMETERS angstrom
2.3458 -5.7073 0.0000
2.3458 5.7073 0.0000
0.0000 0.0000 6.6922
```

[7]
An optimized crystal structure of BaSr2Fe, computed with GGA-PBE. Values from VASP.

Summary:
* space group: Imm2
* energy of formation from the pure elements: 484 meV per atom
* distance to the lowest polymorph of the same formula: 0.058 eV per atom
* N(E_F): 1.66 states/eV/atom
* mass density: 3.7 g/cm³

Structure (Quantum ESPRESSO input):
```
&SYSTEM
  ibrav = 0, nat = 4, ntyp = 3
/
ATOMIC_SPECIES
Ba 137.33 Ba.upf
Sr 87.62 Sr.upf
Fe 55.84 Fe.upf
ATOMIC_POSITIONS angstrom
Ba 0.0000 0.0000 0.0000
Sr 0.0000 0.0000 4.8261
Sr 0.0000 3.1145 2.4136
Fe 2.0364 0.0000 2.4324
CELL_PARAMETERS angstrom
-2.0364 3.1145 6.5140
2.0364 -3.1145 6.5140
2.0364 3.1145 -6.5140
```

[8]
An optimized crystal structure of CsReS2Cl, computed with GGA-PBE. Values from VASP.

Summary:
* energy relative to the elements, uncorrected: -502 meV/atom
* space group: P4/mmm
* distance to the lowest polymorph of the same formula: 0.000 eV per atom
* N(E_F): 0.20 states/eV/atom
* mass density: 5.9 g/cm³

Structure (Quantum ESPRESSO input):
```
&SYSTEM
  ibrav = 0, nat = 5, ntyp = 4
/
ATOMIC_SPECIES
Cs 132.91 Cs.upf
Re 186.21 Re.upf
S 32.06 S.upf
Cl 35.45 Cl.upf
ATOMIC_POSITIONS angstrom
Cs 0.0000 0.0000 0.0000
Re 2.3281 2.3281 2.7276
S 0.0000 2.3281 2.7276
S 2.3281 0.0000 2.7276
Cl 2.3281 2.3281 0.0000
CELL_PARAMETERS angstrom
4.6562 0.0000 0.0000
0.0000 4.6562 0.0000
0.0000 0.0000 5.4552
```

Calculated total magnetic moment in order - 0.00; 0.00; 0.00; 10.28; 5.43; 0.00; 2.21; 0.00 Bohr magnetons per cell